[1]
VASP calculation (PBE) on a relaxed structure of InBrO3.

Calculated values
Total magnetization (μB/cell): 0.693
Uncorrected formation energy (eV/atom): 0.189
E (eV per cell): -18.3
SG: Pm-3m (221)

a b c (Å): 4.155 4.155 4.155
angles (deg): 90.00 90.00 90.00
Sites, in units of the cell vectors:
In: 0.000 0.000 0.000
Br: 0.500 0.500 0.500
O: 0.000 0.000 0.500
O: 0.000 0.500 0.000
O: 0.500 0.000 0.000



[2]
VASP calculation (PBE) on a relaxed structure of InBrO3.

Calculated values
Total magnetization (μB/cell): 0.000
Uncorrected formation energy (eV/atom): 0.234
E (eV per cell): -18.1
SG: Pm-3m (221)

a b c (Å): 4.045 4.045 4.045
angles (deg): 90.00 90.00 90.00
Sites, in units of the cell vectors:
In: 0.000 0.000 0.000
Br: 0.500 0.500 0.500
O: 0.000 0.500 0.500
O: 0.500 0.000 0.500
O: 0.500 0.500 0.000